No. 1
# Ti2CuSiH

An optimized crystal structure of Ti2CuSiH (GGA-PBE, Alexandria via LeMat-Bulk).

SG: P4/mmm
Energy in eV for the cell shown: -30.7

The structure in POSCAR format:
```
Ti2CuSiH
1.0
3.939 0.000 0.000
0.000 3.939 0.000
0.000 0.000 3.822
Ti Cu Si H
2 1 1 1
direct
0.000 0.500 0.000
0.500 0.000 0.000
0.000 0.000 0.500
0.500 0.500 0.500
0.000 0.000 0.000
```

No. 2
# LaCeYTh

An optimized crystal structure of LaCeYTh (GGA-PBE, Alexandria via LeMat-Bulk).

Relative energy among the computed polymorphs in meV per atom: 0
Formation energy from the elements in eV/atom: 0.03
SG: P4mm

The structure in POSCAR format:
```
LaCeYTh
1.0
3.560 0.000 0.000
0.000 3.560 0.000
0.000 0.000 10.107
La Ce Y Th
1 1 1 1
direct
0.000 0.000 0.000
0.500 0.500 0.249
0.500 0.500 0.724
0.000 0.000 0.480
```

No. 3
# BaTaCu

An optimized crystal structure of BaTaCu (GGA-PBE, Alexandria via LeMat-Bulk).

Relative energy among the computed polymorphs in meV per atom: 0
Formation energy from the elements in eV/atom: 0.31
SG: C2/m

The structure in POSCAR format:
```
BaTaCu
1.0
2.433 -2.434 0.000
2.433 2.434 0.000
-0.064 0.000 12.707
Ba Ta Cu
2 2 2
direct
0.246 0.246 0.155
0.754 0.754 0.845
0.249 0.249 0.439
0.751 0.751 0.561
0.252 0.252 0.658
0.748 0.748 0.342
```